A relaxed structure of HoScCd17, computed with GGA-PBE.

Geometry as POSCAR:
```
HoScCd17
1.0
7.583 0.087 0.992
0.881 7.532 0.992
0.096 0.087 7.647
Ho Sc Cd
1 1 17
Direct
0.681 0.681 0.681
0.318 0.318 0.318
0.316 0.001 0.685
0.685 0.316 0.001
0.001 0.685 0.316
0.316 0.685 0.001
0.001 0.316 0.685
0.685 0.001 0.316
0.387 0.749 0.387
0.387 0.387 0.749
0.749 0.387 0.387
0.669 0.114 0.669
0.669 0.669 0.114
0.114 0.669 0.669
0.027 0.468 0.027
0.027 0.027 0.468
0.468 0.027 0.027
0.906 0.906 0.906
0.094 0.094 0.094
```

Total magnetization   0.0 Bohr magnetons per cell
D(E_F)   5.9 states/eV/cell
Formation enthalpy at 0 K   -1.069 eV/f.u.